Version w
This record from the Alexandria database describes crystalline Cr2PPb at its relaxed geometry. The functional is PBEsol.

CIF file:
```
data_Cr2PPb
_symmetry_space_group_name_H-M 'P 1'
_symmetry_Int_Tables_number 1
_symmetry_space_group_name_Hall 'P 1'
_cell_length_a 4.575
_cell_length_b 4.575
_cell_length_c 3.101
_cell_angle_alpha 96.66
_cell_angle_beta 96.66
_cell_angle_gamma 98.99
loop_
_atom_site_label
_atom_site_fract_x
_atom_site_fract_y
_atom_site_fract_z
Cr1 0.000 0.500 0.000
Cr2 0.500 0.000 0.000
P1 0.000 0.000 0.500
Pb1 0.500 0.500 0.500
```

## Properties
size of the total moment = 4.73 μB per cell


Version x
This record from the Alexandria database describes crystalline Cr2PPb at its relaxed geometry. The functional is PBEsol.

CIF file:
```
data_Cr2PPb
_symmetry_space_group_name_H-M 'P 1'
_symmetry_Int_Tables_number 1
_symmetry_space_group_name_Hall 'P 1'
_cell_length_a 4.322
_cell_length_b 4.322
_cell_length_c 3.156
_cell_angle_alpha 90.00
_cell_angle_beta 90.00
_cell_angle_gamma 90.00
loop_
_atom_site_label
_atom_site_fract_x
_atom_site_fract_y
_atom_site_fract_z
Cr1 0.000 0.500 0.000
Cr2 0.500 0.000 0.000
P1 0.000 0.000 0.500
Pb1 0.500 0.500 0.500
```

## Properties
size of the total moment = 3.04 μB per cell


Stability verdict: version x, ahead by 0.009 eV/atom


Version w
This record from the Alexandria database describes crystalline CrP2Pt at its relaxed geometry. The functional is PBEsol.

CIF file:
```
data_CrP2Pt
_symmetry_space_group_name_H-M 'P 1'
_symmetry_Int_Tables_number 1
_symmetry_space_group_name_Hall 'P 1'
_cell_length_a 2.739
_cell_length_b 2.739
_cell_length_c 7.252
_cell_angle_alpha 90.00
_cell_angle_beta 90.00
_cell_angle_gamma 90.00
loop_
_atom_site_label
_atom_site_fract_x
_atom_site_fract_y
_atom_site_fract_z
Cr1 0.000 0.000 0.000
P1 0.000 0.000 0.497
P2 0.500 0.500 0.182
Pt1 0.500 0.500 0.743
```

## Properties
size of the total moment = 0.00 μB per cell


Version x
This record from the Alexandria database describes crystalline CrP2Pt at its relaxed geometry. The functional is PBEsol.

CIF file:
```
data_CrP2Pt
_symmetry_space_group_name_H-M 'P 1'
_symmetry_Int_Tables_number 1
_symmetry_space_group_name_Hall 'P 1'
_cell_length_a 3.977
_cell_length_b 3.977
_cell_length_c 4.843
_cell_angle_alpha 100.18
_cell_angle_beta 100.18
_cell_angle_gamma 43.00
loop_
_atom_site_label
_atom_site_fract_x
_atom_site_fract_y
_atom_site_fract_z
Cr1 0.000 0.000 0.000
P1 0.264 0.264 0.797
P2 0.736 0.736 0.203
Pt1 0.500 0.500 0.500
```

## Properties
size of the total moment = 0.01 μB per cell


Version y
This record from the Alexandria database describes crystalline CrP2Pt at its relaxed geometry. The functional is PBEsol.

CIF file:
```
data_CrP2Pt
_symmetry_space_group_name_H-M 'P 1'
_symmetry_Int_Tables_number 1
_symmetry_space_group_name_Hall 'P 1'
_cell_length_a 2.942
_cell_length_b 2.942
_cell_length_c 5.768
_cell_angle_alpha 90.00
_cell_angle_beta 90.00
_cell_angle_gamma 90.00
loop_
_atom_site_label
_atom_site_fract_x
_atom_site_fract_y
_atom_site_fract_z
Cr1 0.000 0.000 0.000
P1 0.500 0.500 0.218
P2 0.500 0.500 0.782
Pt1 0.000 0.000 0.500
```

## Properties
size of the total moment = 0.00 μB per cell


Stability verdict: version x, ahead by 0.048 eV/atom


Version w
This record from the Alexandria database describes crystalline CrP2Ru at its relaxed geometry. The functional is PBEsol.

CIF file:
```
data_CrP2Ru
_symmetry_space_group_name_H-M 'P 1'
_symmetry_Int_Tables_number 1
_symmetry_space_group_name_Hall 'P 1'
_cell_length_a 2.858
_cell_length_b 3.467
_cell_length_c 4.980
_cell_angle_alpha 90.00
_cell_angle_beta 90.00
_cell_angle_gamma 90.00
loop_
_atom_site_label
_atom_site_fract_x
_atom_site_fract_y
_atom_site_fract_z
Cr1 0.000 0.000 0.000
P1 0.000 0.000 0.476
P2 0.500 0.500 0.142
Ru1 0.500 0.500 0.636
```

## Properties
size of the total moment = 1.27 μB per cell


Version x
This record from the Alexandria database describes crystalline CrP2Ru at its relaxed geometry. The functional is PBEsol.

CIF file:
```
data_CrP2Ru
_symmetry_space_group_name_H-M 'P 1'
_symmetry_Int_Tables_number 1
_symmetry_space_group_name_Hall 'P 1'
_cell_length_a 3.903
_cell_length_b 3.903
_cell_length_c 4.865
_cell_angle_alpha 102.49
_cell_angle_beta 102.49
_cell_angle_gamma 42.03
loop_
_atom_site_label
_atom_site_fract_x
_atom_site_fract_y
_atom_site_fract_z
Cr1 0.000 0.000 0.000
P1 0.253 0.253 0.778
P2 0.747 0.747 0.222
Ru1 0.500 0.500 0.500
```

## Properties
size of the total moment = 0.02 μB per cell


Stability verdict: version w, ahead by 0.094 eV/atom


Version w
This record from the Alexandria database describes crystalline CrSiP at its relaxed geometry. The functional is PBEsol.

CIF file:
```
data_CrSiP
_symmetry_space_group_name_H-M 'P 1'
_symmetry_Int_Tables_number 1
_symmetry_space_group_name_Hall 'P 1'
_cell_length_a 6.401
_cell_length_b 6.401
_cell_length_c 3.174
_cell_angle_alpha 90.00
_cell_angle_beta 90.00
_cell_angle_gamma 120.00
loop_
_atom_site_label
_atom_site_fract_x
_atom_site_fract_y
_atom_site_fract_z
Cr1 0.000 0.738 0.000
Cr2 0.262 0.262 0.000
Cr3 0.738 0.000 0.000
Si1 0.000 0.000 0.500
Si2 0.333 0.667 0.000
Si3 0.667 0.333 0.000
P1 0.000 0.368 0.500
P2 0.368 0.000 0.500
P3 0.632 0.632 0.500
```

## Properties
size of the total moment = 0.00 μB per cell


Version x
This record from the Alexandria database describes crystalline CrSiP at its relaxed geometry. The functional is PBEsol.

CIF file:
```
data_CrSiP
_symmetry_space_group_name_H-M 'P 1'
_symmetry_Int_Tables_number 1
_symmetry_space_group_name_Hall 'P 1'
_cell_length_a 4.091
_cell_length_b 4.091
_cell_length_c 2.524
_cell_angle_alpha 90.00
_cell_angle_beta 90.00
_cell_angle_gamma 120.00
loop_
_atom_site_label
_atom_site_fract_x
_atom_site_fract_y
_atom_site_fract_z
Cr1 0.000 0.000 0.000
Si1 0.667 0.333 0.500
P1 0.333 0.667 0.000
```

## Properties
size of the total moment = 0.42 μB per cell


Stability verdict: version x, ahead by 0.065 eV/atom


Version w
This record from the Alexandria database describes crystalline TiCrP3 at its relaxed geometry. The functional is PBEsol.

CIF file:
```
data_TiCrP3
_symmetry_space_group_name_H-M 'P 1'
_symmetry_Int_Tables_number 1
_symmetry_space_group_name_Hall 'P 1'
_cell_length_a 4.382
_cell_length_b 4.382
_cell_length_c 4.382
_cell_angle_alpha 90.00
_cell_angle_beta 90.00
_cell_angle_gamma 90.00
loop_
_atom_site_label
_atom_site_fract_x
_atom_site_fract_y
_atom_site_fract_z
Ti1 0.000 0.000 0.000
Cr1 0.500 0.500 0.500
P1 0.000 0.500 0.500
P2 0.500 0.000 0.500
P3 0.500 0.500 0.000
```

## Properties
size of the total moment = 2.72 μB per cell


Version x
This record from the Alexandria database describes crystalline TiCrP3 at its relaxed geometry. The functional is PBEsol.

CIF file:
```
data_TiCrP3
_symmetry_space_group_name_H-M 'P 1'
_symmetry_Int_Tables_number 1
_symmetry_space_group_name_Hall 'P 1'
_cell_length_a 4.595
_cell_length_b 4.595
_cell_length_c 4.595
_cell_angle_alpha 90.00
_cell_angle_beta 90.00
_cell_angle_gamma 90.00
loop_
_atom_site_label
_atom_site_fract_x
_atom_site_fract_y
_atom_site_fract_z
Ti1 0.000 0.000 0.000
Cr1 0.500 0.500 0.500
P1 0.000 0.000 0.500
P2 0.000 0.500 0.000
P3 0.500 0.000 0.000
```

## Properties
size of the total moment = 4.25 μB per cell


Stability verdict: version w, ahead by 0.121 eV/atom


Version w
This record from the Alexandria database describes crystalline Tl2CrP at its relaxed geometry. The functional is PBEsol.

CIF file:
```
data_Tl2CrP
_symmetry_space_group_name_H-M 'P 1'
_symmetry_Int_Tables_number 1
_symmetry_space_group_name_Hall 'P 1'
_cell_length_a 3.547
_cell_length_b 5.748
_cell_length_c 5.748
_cell_angle_alpha 45.30
_cell_angle_beta 90.00
_cell_angle_gamma 90.00
loop_
_atom_site_label
_atom_site_fract_x
_atom_site_fract_y
_atom_site_fract_z
Tl1 0.000 0.000 0.000
Tl2 0.500 0.304 0.304
Cr1 0.000 0.725 0.725
P1 0.500 0.589 0.589
```

## Properties
size of the total moment = 2.79 μB per cell


Version x
This record from the Alexandria database describes crystalline Tl2CrP at its relaxed geometry. The functional is PBEsol.

CIF file:
```
data_Tl2CrP
_symmetry_space_group_name_H-M 'P 1'
_symmetry_Int_Tables_number 1
_symmetry_space_group_name_Hall 'P 1'
_cell_length_a 4.245
_cell_length_b 4.245
_cell_length_c 4.702
_cell_angle_alpha 90.00
_cell_angle_beta 90.00
_cell_angle_gamma 90.00
loop_
_atom_site_label
_atom_site_fract_x
_atom_site_fract_y
_atom_site_fract_z
Tl1 0.000 0.500 0.000
Tl2 0.500 0.000 0.000
Cr1 0.000 0.000 0.500
P1 0.500 0.500 0.500
```

## Properties
size of the total moment = 4.18 μB per cell


Version y
This record from the Alexandria database describes crystalline Tl2CrP at its relaxed geometry. The functional is PBEsol.

CIF file:
```
data_Tl2CrP
_symmetry_space_group_name_H-M 'P 1'
_symmetry_Int_Tables_number 1
_symmetry_space_group_name_Hall 'P 1'
_cell_length_a 3.093
_cell_length_b 3.093
_cell_length_c 8.389
_cell_angle_alpha 90.00
_cell_angle_beta 90.00
_cell_angle_gamma 90.00
loop_
_atom_site_label
_atom_site_fract_x
_atom_site_fract_y
_atom_site_fract_z
Tl1 0.000 0.000 0.000
Tl2 0.500 0.500 0.354
Cr1 0.000 0.000 0.617
P1 0.500 0.500 0.717
```

## Properties
size of the total moment = 1.62 μB per cell


Stability verdict: version y, ahead by 0.164 eV/atom